Entry 1:
# HfMg3Pt

A relaxed structure of HfMg3Pt (GGA-PBE, Alexandria).

Symmetry   Pm-3m (221)
DFT formation energy   177 meV/atom
Energy above the lowest structure with this stoichiometry   0 meV per atom

Geometry as POSCAR:
```
HfMg3Pt
1.0
-4.622 0.369 1.545
-1.297 -3.622 -3.015
0.917 -3.261 3.523
Mg Hf Pt
3 1 1
Cartesian
-0.648 -1.811 -1.507
0.459 -1.631 1.762
-2.311 0.184 0.772
-2.501 -3.257 1.027
0.000 0.000 0.000
```

---

Entry 2:
# Hf2Mg2Pt3

A relaxed structure of Hf2Mg2Pt3 (GGA-PBE, Alexandria).

Symmetry   P-1 (2)
DFT formation energy   -916 meV/atom

Geometry as POSCAR:
```
Hf2Mg2Pt3
1.0
4.463 -0.001 -1.252
-2.406 3.957 -0.002
-0.263 -0.159 7.711
Hf Mg Pt
2 2 3
Cartesian
2.463 1.493 0.200
-0.670 2.303 6.258
0.756 0.459 2.718
1.038 3.337 3.739
0.000 0.000 0.000
1.472 0.895 5.313
0.321 2.901 1.144
```

---

Entry 3:
# HfMgPt14

A relaxed structure of HfMgPt14 (GGA-PBE, Alexandria).

Symmetry   P4/mmm (123)
DFT formation energy   -428 meV/atom

Geometry as POSCAR:
```
HfMgPt14
1.0
-3.601 1.935 -3.883
-4.338 -1.546 3.253
0.073 7.152 3.497
Hf Mg Pt
1 1 14
Cartesian
-3.693 1.500 -2.990
-4.061 -0.240 0.576
-4.025 3.336 2.326
-3.656 5.077 -1.243
-5.863 0.727 -1.364
-5.825 4.304 0.384
-1.892 0.532 -1.049
-1.856 4.109 0.699
-5.992 5.235 3.049
-6.029 1.631 1.287
-2.021 5.040 3.364
-2.057 1.436 1.602
-4.191 4.267 4.992
-4.228 0.662 3.229
-3.822 6.009 1.421
-3.859 2.405 -0.341
```

---

Entry 4:
# HfMg2Pt2

A relaxed structure of HfMg2Pt2 (GGA-PBE, Alexandria).

Symmetry   I4/mmm (139)
DFT formation energy   -641 meV/atom
Energy above the lowest structure with this stoichiometry   202 meV per atom

Geometry as POSCAR:
```
HfMg2Pt2
1.0
3.728 0.000 0.000
0.000 3.728 0.000
1.864 1.864 6.605
Mg Hf Pt
2 1 2
Cartesian
3.728 1.864 3.303
1.864 3.728 3.303
0.000 0.000 0.000
1.864 1.864 1.327
3.728 3.728 5.278
```